# Ce2BiI | Alexandria via LeMat-Bulk | GGA-PBE | relaxed
data_Ce2BiI
_space_group_name_H-M_alt 'P 1'
_space_group_IT_number 1
_space_group_name_Hall 'P 1'
_cell_length_a 10.291
_cell_length_b 10.291
_cell_length_c 7.669
_cell_angle_alpha 103.66
_cell_angle_beta 103.66
_cell_angle_gamma 128.42
loop_
_atom_site_label
_atom_site_type_symbol
_atom_site_fract_x
_atom_site_fract_y
_atom_site_fract_z
_atom_site_occupancy
Ce1 Ce 0.061 0.436 0.250 1
Ce2 Ce 0.188 0.313 0.751 1
Ce3 Ce 0.313 0.188 0.251 1
Ce4 Ce 0.436 0.061 0.750 1
Ce5 Ce 0.564 0.939 0.250 1
Ce6 Ce 0.687 0.812 0.749 1
Ce7 Ce 0.812 0.687 0.249 1
Ce8 Ce 0.939 0.564 0.750 1
Bi1 Bi 0.188 0.812 0.250 1
Bi2 Bi 0.437 0.563 0.250 1
Bi3 Bi 0.563 0.437 0.750 1
Bi4 Bi 0.812 0.188 0.750 1
I1 I 0.061 0.939 0.750 1
I2 I 0.314 0.686 0.750 1
I3 I 0.686 0.314 0.250 1
I4 I 0.939 0.061 0.250 1
# Energy above the lowest structure with this stoichiometry ... 0.000 eV/atom
# DFT total energy ... -81.93 eV for the cell shown

# CeBiI | Alexandria via LeMat-Bulk | GGA-PBE | relaxed
data_CeBiI
_space_group_name_H-M_alt 'P 1'
_space_group_IT_number 1
_space_group_name_Hall 'P 1'
_cell_length_a 5.438
_cell_length_b 5.438
_cell_length_c 3.830
_cell_angle_alpha 90.00
_cell_angle_beta 90.00
_cell_angle_gamma 120.00
loop_
_atom_site_label
_atom_site_type_symbol
_atom_site_fract_x
_atom_site_fract_y
_atom_site_fract_z
_atom_site_occupancy
Ce1 Ce 0.000 0.000 0.000 1
Bi1 Bi 0.333 0.667 0.500 1
I1 I 0.667 0.333 0.000 1
# Energy above the lowest structure with this stoichiometry ... 0.142 eV/atom
# DFT total energy ... -13.07 eV for the cell shown

Q: Number 2 is which compound?
A: CeBiI